1.
Here is a relaxed structure of Hf3InH from Alexandria. Energies are from PBE.

Results
Calculated volume: 94 Å³/f.u.
VASP energy: -7.242 eV/atom
Space group: No. 194

a = 3.2812 Å, b = 3.2812 Å, c = 20.1162 Å
α = 90.00°, β = 90.00°, γ = 120.00°
Last column: nearest neighbours and their distance in Å.
Positions (direct):
H: 0.3333 0.6667 0.7500  3 Hf 1.89
H: 0.6667 0.3333 0.2500  3 Hf 1.89
Hf: 0.0000 0.0000 0.2500  3 H 1.89
Hf: 0.0000 0.0000 0.7500  3 H 1.89
Hf: 0.3333 0.6667 0.8748  1 H 2.51
Hf: 0.3333 0.6667 0.6252  1 H 2.51
Hf: 0.6667 0.3333 0.3748  1 H 2.51
Hf: 0.6667 0.3333 0.1252  1 H 2.51
In: 0.0000 0.0000 0.0000  6 Hf 3.15, 6 In 3.28
In: 0.0000 0.0000 0.5000  6 Hf 3.15, 6 In 3.28

2.
Here is a relaxed structure of Hf4In2H from Alexandria. Energies are from PBE.

Results
Calculated volume: 137 Å³/f.u.
VASP energy: -6.971 eV/atom
Space group: No. 6
Energy above the most stable polymorph in this dataset: 57 meV per atom

a = 3.0753 Å, b = 8.7327 Å, c = 5.6099 Å
α = 114.40°, β = 90.00°, γ = 90.00°
Last column: nearest neighbours and their distance in Å.
Positions (direct):
Hf: 0.5000 0.0910 0.8422  2 H 2.16
Hf: 0.0000 0.4003 0.3031  7 Hf 3.08-3.32, 1 H 3.16, 6 In 3.16-3.26
Hf: 0.5000 0.0852 0.3253  2 H 2.17
Hf: 0.0000 0.7532 0.8452  1 H 1.99
In: 0.5000 0.4268 0.8113  8 Hf 3.01-3.25, 3 In 3.08-3.12
In: 0.5000 0.7401 0.3477  8 Hf 3.07-3.26, 3 In 3.08-3.12
H: 0.0000 0.0033 0.0253  5 Hf 1.99-2.17

3.
Here is a relaxed structure of Hf4In5H2 from Alexandria. Energies are from PBE.

Results
Calculated volume: 216 Å³/f.u.
VASP energy: -5.517 eV/atom
Space group: No. 71

a = 3.1662 Å, b = 8.2398 Å, c = 9.3665 Å
α = 116.09°, β = 99.73°, γ = 90.00°
Last column: nearest neighbours and their distance in Å.
Positions (direct):
Hf: 0.0000 0.3243 0.0000  4 H 2.27
Hf: 0.6593 0.6593 0.3185  1 H 1.89
Hf: 0.0000 0.6757 0.0000  4 H 2.27
Hf: 0.3407 0.3407 0.6815  1 H 1.89
In: 0.8271 0.0055 0.6541  5 In 2.94-3.22, 4 Hf 3.10-3.14
In: 0.8271 0.6487 0.6541  5 In 2.94-3.22, 4 Hf 3.10-3.14
In: 0.1729 0.3513 0.3459  5 In 2.94-3.22, 4 Hf 3.10-3.14
In: 0.1729 0.9945 0.3459  5 In 2.94-3.22, 4 Hf 3.10-3.14
In: 0.5000 0.0000 0.0000  4 Hf 3.11, 2 In 3.17
H: 0.4550 0.4550 0.9099  1 H 1.49
H: 0.5450 0.5450 0.0901  1 H 1.49

4.
Here is a relaxed structure of Hf3InH2 from Alexandria. Energies are from PBE.

Results
Calculated volume: 98 Å³/f.u.
VASP energy: -6.712 eV/atom
Space group: No. 11
Energy above the most stable polymorph in this dataset: 95 meV per atom

a = 3.1931 Å, b = 6.0213 Å, c = 10.2624 Å
α = 97.71°, β = 90.00°, γ = 90.00°
Last column: nearest neighbours and their distance in Å.
Positions (direct):
Hf: 0.7500 0.9563 0.1355  2 H 2.06-2.17
Hf: 0.2500 0.0437 0.8645  2 H 2.06-2.17
Hf: 0.7500 0.6091 0.8809  3 H 2.03-2.10
Hf: 0.2500 0.3909 0.1191  3 H 2.03-2.10
Hf: 0.2500 0.2314 0.3851  2 H 1.94
Hf: 0.7500 0.7686 0.6149  2 H 1.94
In: 0.2500 0.7185 0.3576  2 H 2.63, 1 Hf 2.93
In: 0.7500 0.2815 0.6424  2 H 2.63, 1 Hf 2.93
H: 0.2500 0.4033 0.9225  4 Hf 2.03-2.17
H: 0.7500 0.5967 0.0775  4 Hf 2.03-2.17
H: 0.7500 0.0585 0.3348  3 Hf 1.94-2.06
H: 0.2500 0.9415 0.6652  3 Hf 1.94-2.06

What is the formula in the first record?
Hf3InH

What is the formula in the second record?
Hf4In2H